Record 1
First-principles (PBE) data for BaMn4Ir after structural relaxation, as listed in Alexandria via LeMat-Bulk. Values from VASP.

Properties
Its formation energy is 4.5 eV per formula unit. As for the space group: F-43m, No. 216.

Cell and atoms, written as Quantum ESPRESSO input:
```
&SYSTEM
  ibrav = 0, nat = 6, ntyp = 3
/
ATOMIC_SPECIES
Ba 137.33 Ba.upf
Mn 54.94 Mn.upf
Ir 192.22 Ir.upf
CELL_PARAMETERS angstrom
0.0000 3.8199 3.8199
3.8199 0.0000 3.8199
3.8199 3.8199 0.0000
ATOMIC_POSITIONS crystal
Ba 0.0000 0.0000 0.0000
Mn 0.3776 0.3776 0.3776
Mn 0.3776 0.3776 0.8671
Mn 0.3776 0.8671 0.3776
Mn 0.8671 0.3776 0.3776
Ir 0.7500 0.7500 0.7500
```

***

Record 2
First-principles (PBE) data for YAuBrN2 after structural relaxation, as listed in Alexandria via LeMat-Bulk. Values from VASP.

Properties
The uncorrected formation energy comes out at 94 kJ/mol of atoms. As for the space group: P4/mmm, No. 123.

Cell and atoms, written as Quantum ESPRESSO input:
```
&SYSTEM
  ibrav = 0, nat = 5, ntyp = 4
/
ATOMIC_SPECIES
Y 88.91 Y.upf
Au 196.97 Au.upf
Br 79.90 Br.upf
N 14.01 N.upf
CELL_PARAMETERS angstrom
4.2500 0.0000 0.0000
0.0000 4.2500 0.0000
0.0000 0.0000 4.9343
ATOMIC_POSITIONS crystal
Y 0.0000 0.0000 0.0000
Au 0.5000 0.5000 0.5000
Br 0.5000 0.5000 0.0000
N 0.0000 0.5000 0.5000
N 0.5000 0.0000 0.5000
```

***

Record 3
First-principles (PBE) data for BeRhW4 after structural relaxation, as listed in Alexandria via LeMat-Bulk. Values from VASP.

Properties
Its formation energy is 4.1 eV per formula unit. As for the space group: F-43m, No. 216.

Cell and atoms, written as Quantum ESPRESSO input:
```
&SYSTEM
  ibrav = 0, nat = 6, ntyp = 3
/
ATOMIC_SPECIES
Be 9.01 Be.upf
Rh 102.91 Rh.upf
W 183.84 W.upf
CELL_PARAMETERS angstrom
0.0000 3.6750 3.6750
3.6750 0.0000 3.6750
3.6750 3.6750 0.0000
ATOMIC_POSITIONS crystal
Be 0.0000 0.0000 0.0000
Rh 0.7500 0.7500 0.7500
W 0.3736 0.3736 0.3736
W 0.3736 0.3736 0.8793
W 0.3736 0.8793 0.3736
W 0.8793 0.3736 0.3736
```

***

Per-record energy, eV/cell: -42.974 -23.183 -58.779